VASP calculation (PBE+U) on a relaxed MnCd2GeO5 crystal.

a b c (Å): 6.5317 6.5317 11.2752
angles (deg): 90.00 90.00 150.97
Positions (direct):
1 Mn 0.2120 0.7880 0.5000
2 Mn 0.7880 0.2120 0.0000
3 Cd 0.0888 0.9112 0.1361
4 Cd 0.1841 0.8159 0.7721
5 Cd 0.8159 0.1841 0.2721
6 Cd 0.9112 0.0888 0.6361
7 Ge 0.4834 0.5166 0.8921
8 Ge 0.5166 0.4834 0.3921
9 O 0.0265 0.9735 0.4799
10 O 0.2609 0.7391 0.1337
11 O 0.3361 0.6639 0.8873
12 O 0.3685 0.6315 0.4133
13 O 0.4980 0.5020 0.2316
14 O 0.5020 0.4980 0.7316
15 O 0.6315 0.3685 0.9133
16 O 0.6639 0.3361 0.3873
17 O 0.7391 0.2609 0.6337
18 O 0.9735 0.0265 0.9799

Results
**Energy**: -0.414 Ry/atom
**Symmetry**: Cmc2_1 (36)
**N(E_F)**: 0.85 states/eV/cell